(1)
Tl6Cd2In3: optimized geometry, GGA-PBE.

Structure (CIF):
```
data_Tl6Cd2In3
_cell_length_a 9.262
_cell_length_b 8.803
_cell_length_c 8.556
_cell_angle_alpha 90.00
_cell_angle_beta 106.07
_cell_angle_gamma 90.00
_symmetry_space_group_name_H-M 'C 1 2/m 1'
_symmetry_Int_Tables_number 12
loop_
_symmetry_equiv_pos_as_xyz
'x,y,z'
'-x,-y,-z'
'-x,y,-z'
'x,-y,z'
'x+1/2,y+1/2,z'
'-x+1/2,-y+1/2,-z'
'-x+1/2,y+1/2,-z'
'x+1/2,-y+1/2,z'
loop_
_atom_site_label
_atom_site_type_symbol
_atom_site_fract_x
_atom_site_fract_y
_atom_site_fract_z
Tl1 Tl 0.072 0.217 0.253
Tl2 Tl 0.183 0.000 0.612
Cd1 Cd 0.173 0.000 0.984
In1 In 0.000 0.500 0.000
In2 In 0.122 0.500 0.661
```

Output
The value obtained for the total magnetization is 0.0 Bohr magnetons per cell. The value obtained for the density of states at the Fermi level is 7.277 states/eV per cell. The value obtained for the calculated formation energy is 81 meV/atom.

***

(2)
Tl4CdIn4: optimized geometry, GGA-PBE.

Structure (CIF):
```
data_Tl4CdIn4
_cell_length_a 11.671
_cell_length_b 11.671
_cell_length_c 3.784
_cell_angle_alpha 90.00
_cell_angle_beta 90.00
_cell_angle_gamma 90.00
_symmetry_space_group_name_H-M 'I 4/m m m'
_symmetry_Int_Tables_number 139
_symmetry_space_group_name_Hall '-I 4 2'
loop_
_atom_site_label
_atom_site_type_symbol
_atom_site_fract_x
_atom_site_fract_y
_atom_site_fract_z
Tl1 Tl 0.163 0.163 0.000
Cd1 Cd 0.000 0.000 0.500
In1 In 0.000 0.338 0.500
```

Output
The value obtained for the total magnetization is 0.0 Bohr magnetons per cell. The value obtained for the density of states at the Fermi level is 5.889 states/eV per cell. The value obtained for the calculated formation energy is 29 meV/atom.